Run i
Entry from Alexandria: a relaxed ScRe3Os crystal (PBE-GGA).

## Properties
Total moment = 0.0 Bohr magnetons per cell
SG = No. 221

Cell lengths 4.4640, 4.4640, 4.4640 Å; angles 90.00, 90.00, 90.00 degrees
Last column: nearest neighbours and their distance in Å.
Fractional coordinates of all 5 atoms:
Sc  0.0000  0.0000  0.0000  6 Re 2.23
Re  0.0000  0.0000  0.5000  2 Sc 2.23
Re  0.0000  0.5000  0.0000  2 Sc 2.23
Re  0.5000  0.0000  0.0000  2 Sc 2.23
Os  0.5000  0.5000  0.5000  12 Re 3.16

=====

Run ii
Entry from Alexandria: a relaxed ScRe3Os crystal (PBE-GGA).

## Properties
Total moment = 0.0 Bohr magnetons per cell
SG = No. 221

Cell lengths 4.7174, 4.7174, 4.7174 Å; angles 90.00, 90.00, 90.00 degrees
Last column: nearest neighbours and their distance in Å.
Fractional coordinates of all 5 atoms:
Sc  0.0000  0.0000  0.0000  12 Re 3.34
Re  0.0000  0.5000  0.5000  2 Os 2.36
Re  0.5000  0.0000  0.5000  2 Os 2.36
Re  0.5000  0.5000  0.0000  2 Os 2.36
Os  0.5000  0.5000  0.5000  6 Re 2.36

=====

Most stable structure: run ii

=====

Run i
Entry from Alexandria: a relaxed ReOsSe2 crystal (PBE-GGA).

## Properties
Total moment = 0.0 Bohr magnetons per cell
SG = No. 119

Cell lengths 4.7965, 4.7965, 4.7965 Å; angles 129.28, 129.28, 74.56 degrees
Last column: nearest neighbours and their distance in Å.
Fractional coordinates of all 4 atoms:
Re  0.0000  0.0000  0.0000  8 Se 2.80-2.91, 4 Os 2.80
Os  0.7500  0.2500  0.5000  8 Se 2.80-2.91, 4 Re 2.80
Se  0.2500  0.7500  0.5000  4 Se 2.80, 4 Re 2.80, 4 Os 2.91
Se  0.5000  0.5000  0.0000  4 Se 2.80, 4 Os 2.80, 4 Re 2.91

=====

Run ii
Entry from Alexandria: a relaxed ReOsSe2 crystal (PBE-GGA).

## Properties
Total moment = 0.0 Bohr magnetons per cell
SG = No. 35

Cell lengths 2.8667, 2.8667, 10.0722 Å; angles 90.00, 90.00, 119.26 degrees
Last column: nearest neighbours and their distance in Å.
Fractional coordinates of all 4 atoms:
Re  0.0000  0.0000  0.0000  2 Os 2.58, 2 Se 2.64, 4 Re 2.87
Os  0.5000  0.5000  0.7878  2 Re 2.58, 2 Se 2.67, 4 Os 2.87
Se  0.0000  0.0000  0.5653  2 Os 2.67, 6 Se 2.87-2.90
Se  0.5000  0.5000  0.2195  2 Re 2.64, 6 Se 2.87-2.90

=====

Most stable structure: run ii